Here is a relaxed SmHo2Mg4 crystal from the Alexandria database. Energies are from PBE.

Unit cell a=5.482 b=5.975 c=7.112 alpha=114.84 beta=90.00 gamma=90.00
Fractional coordinates of all 7 atoms:
Sm1 0.000 0.500 0.000
Ho1 0.500 0.132 0.264
Ho2 0.500 0.868 0.736
Mg1 0.500 0.621 0.242
Mg2 0.000 0.748 0.497
Mg3 0.500 0.379 0.758
Mg4 0.000 0.252 0.503

Properties
**Calculated volume**: 30.197 A^3/atom
**ΔE_f**: 0.37 eV/atom
**E**: -2.520 eV/atom